CeHo2MnN4 | PBE | optimized geometry

```
CeHo2MnN4
1.0
-2.4736 -1.2396 1.9237
-0.1124 -3.0701 -5.0744
7.3922 -7.7393 4.5186
Ce Ho Mn N
2 4 2 8
Direct
0.1026 0.2051 0.7500
0.8974 0.7949 0.2500
0.3698 0.7395 0.5462
0.6302 0.2605 0.0462
0.6302 0.2605 0.4538
0.3698 0.7395 0.9538
0.8371 0.6743 0.7500
0.1629 0.3257 0.2500
0.2709 0.5417 0.1287
0.7291 0.4583 0.6287
0.7291 0.4583 0.8713
0.2709 0.5417 0.3713
0.0000 0.0000 0.5000
0.0000 0.0000 0.0000
0.4343 0.8685 0.7500
0.5657 0.1315 0.2500
```

## Properties
Its symmetry is No. 63. As for the formation energy (no corrections): -1244 meV per atom.

=====

CeHoMnOs | PBE | optimized geometry

```
CeHoMnOs
1.0
-0.4641 3.7199 -3.1260
-3.9145 2.9068 0.2293
0.4604 4.5931 1.5865
Mn Os Ho Ce
1 1 1 1
Direct
0.0000 0.0000 0.0000
0.5000 0.5000 0.5000
0.2500 0.2500 0.2500
0.7500 0.7500 0.7500
```

## Properties
The value obtained for the formation energy is 3.4 meV per atom. Its symmetry is No. 216.

=====

CeHoMnTc | PBE | optimized geometry

```
CeHoMnTc
1.0
4.8926 0.0000 0.0000
2.4463 4.2371 0.0000
2.4463 1.4124 3.9948
Mn Ho Ce Tc
1 1 1 1
Direct
0.0000 0.0000 0.0000
0.7500 0.7500 0.7500
0.2500 0.2500 0.2500
0.5000 0.5000 0.5000
```

## Properties
The value obtained for the formation energy is 108.7 meV per atom. Its symmetry is No. 216.

=====

Magnetic moment
In order: 3.4 2.5 2.9
Unit: μB/f.u.